No. 1
A plane-wave DFT calculation with PBE was carried out for a relaxed MgGaSbOs crystal. Values from VASP.

The structure in Quantum ESPRESSO input format:
```
&SYSTEM
  ibrav = 0, nat = 16, ntyp = 4
/
ATOMIC_SPECIES
Mg 24.30 Mg.upf
Ga 69.72 Ga.upf
Sb 121.76 Sb.upf
Os 190.23 Os.upf
CELL_PARAMETERS angstrom
6.528 0.000 0.000
0.000 6.528 0.000
0.000 0.000 6.528
ATOMIC_POSITIONS crystal
Mg 0.000 0.000 0.000
Mg 0.000 0.500 0.500
Mg 0.500 0.000 0.500
Mg 0.500 0.500 0.000
Ga 0.250 0.250 0.750
Ga 0.250 0.750 0.250
Ga 0.750 0.250 0.250
Ga 0.750 0.750 0.750
Sb 0.250 0.250 0.250
Sb 0.250 0.750 0.750
Sb 0.750 0.250 0.750
Sb 0.750 0.750 0.250
Os 0.000 0.000 0.500
Os 0.000 0.500 0.000
Os 0.500 0.000 0.000
Os 0.500 0.500 0.500
```

Output
ρ	9.693	Mg/m³
magnetic moment	0.00	μB/f.u.
total DFT energy (no corrections)	-76.96	eV per cell
relative energy among the computed polymorphs	0.00	kJ per mole of atoms

=====

No. 2
A plane-wave DFT calculation with PBE was carried out for a relaxed Lu2TlAg crystal. Values from VASP.

The structure in Quantum ESPRESSO input format:
```
&SYSTEM
  ibrav = 0, nat = 16, ntyp = 3
/
ATOMIC_SPECIES
Lu 174.97 Lu.upf
Tl 204.38 Tl.upf
Ag 107.87 Ag.upf
CELL_PARAMETERS angstrom
7.300 0.000 0.000
0.000 7.300 0.000
0.000 0.000 7.300
ATOMIC_POSITIONS crystal
Lu 0.000 0.000 0.000
Lu 0.000 0.500 0.500
Lu 0.250 0.250 0.250
Lu 0.250 0.750 0.750
Lu 0.500 0.000 0.500
Lu 0.500 0.500 0.000
Lu 0.750 0.250 0.750
Lu 0.750 0.750 0.250
Tl 0.000 0.000 0.500
Tl 0.000 0.500 0.000
Tl 0.500 0.000 0.000
Tl 0.500 0.500 0.500
Ag 0.250 0.250 0.750
Ag 0.250 0.750 0.250
Ag 0.750 0.250 0.250
Ag 0.750 0.750 0.750
```

Output
ρ	11.308	Mg/m³
magnetic moment	0.00	μB/f.u.
total DFT energy (no corrections)	-56.42	eV per cell
relative energy among the computed polymorphs	3.07	kJ per mole of atoms